AcTbHg | PBE | optimized geometry

The offset from the most stable computed form comes out at 0 meV per atom. For the total energy, the calculation gives -0.24504 Ry per atom. As for the volume: 33.33 A^3/atom. The formation energy is -0.323 eV per atom.

extended XYZ file:
```
6
Lattice="-1.7975 4.5989 -0.8877 -4.6003 -1.5553 1.2597 1.3948 2.0032 7.5617" Properties=species:S:1:pos:R:3 pbc="T T T"
Tb -2.4981 3.0606 -0.3509
Hg -3.7254 3.8223 6.0919
Ac -0.7159 2.0295 4.8821
Ac -4.2872 3.0173 3.0516
Hg -1.2776 1.2245 1.8418
Tb -3.8998 -0.0170 0.7229
```